No. 1
This record from Alexandria via LeMat-Bulk describes a relaxed structure of HfZr2Sc. The functional is PBE.

a = 3.1954 Å, b = 3.1954 Å, c = 31.4606 Å
α = 90.00°, β = 90.00°, γ = 120.00°
Sites, in units of the cell vectors:
Hf1 0.0000 0.0000 0.0000
Hf2 0.3333 0.6667 0.6667
Hf3 0.6667 0.3333 0.3333
Zr1 0.0000 0.0000 0.2519
Zr2 0.0000 0.0000 0.7481
Zr3 0.3333 0.6667 0.4147
Zr4 0.3333 0.6667 0.9186
Zr5 0.6667 0.3333 0.0814
Zr6 0.6667 0.3333 0.5853
Sc1 0.0000 0.0000 0.5000
Sc2 0.3333 0.6667 0.1667
Sc3 0.6667 0.3333 0.8333

**Polymorph energy (0 for the lowest one)**: 0.0641 eV/atom
**Crystal system**: trigonal
**Space group**: R-3m, No. 166

---

No. 2
This record from Alexandria via LeMat-Bulk describes a relaxed structure of Hf2Zr5Sc3. The functional is PBE.

a = 8.4117 Å, b = 8.4322 Å, c = 8.5452 Å
α = 106.95°, β = 107.64°, γ = 113.33°
Sites, in units of the cell vectors:
Hf1 0.0330 0.2177 0.0444
Hf2 0.3357 0.0127 0.5475
Hf3 0.6643 0.9873 0.4525
Hf4 0.9670 0.7823 0.9556
Zr1 0.1255 0.3789 0.7552
Zr2 0.1768 0.7221 0.7017
Zr3 0.2195 0.6726 0.1880
Zr4 0.3728 0.1176 0.2499
Zr5 0.4774 0.5244 0.1978
Zr6 0.5226 0.4756 0.8022
Zr7 0.6272 0.8824 0.7501
Zr8 0.7805 0.3274 0.8120
Zr9 0.8232 0.2779 0.2983
Zr10 0.8745 0.6211 0.2448
Sc1 0.0089 0.9640 0.6811
Sc2 0.2813 0.4816 0.4528
Sc3 0.4665 0.1701 0.9500
Sc4 0.5335 0.8299 0.0500
Sc5 0.7187 0.5184 0.5472
Sc6 0.9911 0.0360 0.3189

**Crystal system**: triclinic
**Space group**: P-1, No. 2

---

No. 3
This record from Alexandria via LeMat-Bulk describes a relaxed structure of Hf2Zr5Sc4. The functional is PBE.

a = 8.1883 Å, b = 19.4769 Å, c = 3.2624 Å
α = 90.00°, β = 90.00°, γ = 90.00°
Sites, in units of the cell vectors:
Hf1 0.0429 0.1886 0.0000
Hf2 0.4571 0.6886 0.0000
Hf3 0.5429 0.3114 0.0000
Hf4 0.9571 0.8114 0.0000
Zr1 0.0000 0.5000 0.5000
Zr2 0.1432 0.0626 0.5000
Zr3 0.2396 0.2855 0.5000
Zr4 0.2604 0.7855 0.5000
Zr5 0.3568 0.5626 0.5000
Zr6 0.5000 0.0000 0.5000
Zr7 0.6432 0.4374 0.5000
Zr8 0.7396 0.2145 0.5000
Zr9 0.7604 0.7145 0.5000
Zr10 0.8568 0.9374 0.5000
Sc1 0.0790 0.6482 0.0000
Sc2 0.2126 0.9264 0.0000
Sc3 0.2874 0.4264 0.0000
Sc4 0.4210 0.1482 0.0000
Sc5 0.5790 0.8518 0.0000
Sc6 0.7126 0.5736 0.0000
Sc7 0.7874 0.0736 0.0000
Sc8 0.9210 0.3518 0.0000

**Crystal system**: orthorhombic
**Space group**: Pbam, No. 55

---

No. 4
This record from Alexandria via LeMat-Bulk describes a relaxed structure of Hf4Zr2Sc5. The functional is PBE.

a = 10.9258 Å, b = 10.9258 Å, c = 7.7871 Å
α = 95.69°, β = 95.69°, γ = 16.50°
Sites, in units of the cell vectors:
Hf1 0.0384 0.0384 0.3513
Hf2 0.2764 0.2764 0.1616
Hf3 0.7236 0.7236 0.8384
Hf4 0.9616 0.9616 0.6487
Zr1 0.4138 0.4138 0.3044
Zr2 0.5862 0.5862 0.6956
Sc1 0.1341 0.1341 0.0520
Sc2 0.1838 0.1838 0.4767
Sc3 0.5000 0.5000 0.0000
Sc4 0.8162 0.8162 0.5233
Sc5 0.8659 0.8659 0.9480

**Polymorph energy (0 for the lowest one)**: 0.0079 eV/atom
**Crystal system**: monoclinic
**Space group**: C2/m, No. 12

---

No. 5
This record from Alexandria via LeMat-Bulk describes a relaxed structure of HfZr2Sc3. The functional is PBE.

a = 6.4803 Å, b = 4.4973 Å, c = 9.6768 Å
α = 90.00°, β = 90.05°, γ = 90.00°
Sites, in units of the cell vectors:
Hf1 0.1155 0.2500 0.2499
Hf2 0.8845 0.7500 0.7501
Zr1 0.1142 0.2500 0.5834
Zr2 0.1143 0.2500 0.9164
Zr3 0.8857 0.7500 0.0836
Zr4 0.8858 0.7500 0.4166
Sc1 0.3652 0.7500 0.0844
Sc2 0.3652 0.7500 0.4154
Sc3 0.3680 0.7500 0.7499
Sc4 0.6320 0.2500 0.2501
Sc5 0.6348 0.2500 0.5846
Sc6 0.6348 0.2500 0.9156

**Polymorph energy (0 for the lowest one)**: 0.0000 eV/atom
**Crystal system**: monoclinic
**Space group**: P2_1/m, No. 11

---

No. 6
This record from Alexandria via LeMat-Bulk describes a relaxed structure of Hf2Zr3Sc. The functional is PBE.

a = 8.2112 Å, b = 8.2112 Å, c = 6.1854 Å
α = 90.00°, β = 90.00°, γ = 41.98°
Sites, in units of the cell vectors:
Hf1 0.1520 0.1520 0.0000
Hf2 0.1520 0.1520 0.5000
Hf3 0.8480 0.8480 0.0000
Hf4 0.8480 0.8480 0.5000
Zr1 0.2047 0.7953 0.7500
Zr2 0.2926 0.3519 0.7500
Zr3 0.3519 0.2926 0.2500
Zr4 0.6481 0.7074 0.7500
Zr5 0.7074 0.6481 0.2500
Zr6 0.7953 0.2047 0.2500
Sc1 0.2848 0.7152 0.2500
Sc2 0.7152 0.2848 0.7500

**Polymorph energy (0 for the lowest one)**: 0.0114 eV/atom
**Crystal system**: orthorhombic
**Space group**: Cmcm, No. 63

---

No. 7
This record from Alexandria via LeMat-Bulk describes a relaxed structure of Hf2ZrSc. The functional is PBE.

a = 3.1874 Å, b = 3.1874 Å, c = 31.3178 Å
α = 90.00°, β = 90.00°, γ = 120.00°
Sites, in units of the cell vectors:
Hf1 0.0000 0.0000 0.2486
Hf2 0.0000 0.0000 0.7514
Hf3 0.3333 0.6667 0.4181
Hf4 0.3333 0.6667 0.9152
Hf5 0.6667 0.3333 0.0848
Hf6 0.6667 0.3333 0.5819
Zr1 0.0000 0.0000 0.5000
Zr2 0.3333 0.6667 0.1667
Zr3 0.6667 0.3333 0.8333
Sc1 0.0000 0.0000 0.0000
Sc2 0.3333 0.6667 0.6667
Sc3 0.6667 0.3333 0.3333

**Polymorph energy (0 for the lowest one)**: 0.0770 eV/atom
**Crystal system**: trigonal
**Space group**: R-3m, No. 166

---

No. 8
This record from Alexandria via LeMat-Bulk describes a relaxed structure of HfZr3Sc3. The functional is PBE.

a = 5.7506 Å, b = 5.7506 Å, c = 5.7506 Å
α = 104.52°, β = 104.52°, γ = 104.52°
Sites, in units of the cell vectors:
Hf1 0.0000 0.0000 0.0000
Zr1 0.0509 0.4131 0.4131
Zr2 0.4131 0.0509 0.4131
Zr3 0.4131 0.4131 0.0509
Sc1 0.4522 0.8661 0.8661
Sc2 0.8661 0.4522 0.8661
Sc3 0.8661 0.8661 0.4522

**Polymorph energy (0 for the lowest one)**: 0.1766 eV/atom
**Crystal system**: trigonal
**Space group**: R3m, No. 160

---

No. 9
This record from Alexandria via LeMat-Bulk describes a relaxed structure of Hf2Zr3Sc. The functional is PBE.

a = 10.4212 Å, b = 10.4212 Å, c = 9.2174 Å
α = 107.08°, β = 107.08°, γ = 17.09°
Sites, in units of the cell vectors:
Hf1 0.0709 0.0709 0.1433
Hf2 0.3081 0.3081 0.6283
Hf3 0.6919 0.6919 0.3717
Hf4 0.9291 0.9291 0.8567
Zr1 0.0661 0.0661 0.7844
Zr2 0.3073 0.3073 0.2895
Zr3 0.4427 0.4427 0.5681
Zr4 0.5573 0.5573 0.4319
Zr5 0.6927 0.6927 0.7105
Zr6 0.9339 0.9339 0.2156
Sc1 0.3115 0.3115 0.9593
Sc2 0.6885 0.6885 0.0407

**Polymorph energy (0 for the lowest one)**: 0.0000 eV/atom
**Crystal system**: monoclinic
**Space group**: C2/m, No. 12

---

No. 10
This record from Alexandria via LeMat-Bulk describes a relaxed structure of Hf2Zr2Sc7. The functional is PBE.

a = 5.8822 Å, b = 5.8822 Å, c = 7.9138 Å
α = 98.71°, β = 98.71°, γ = 94.26°
Sites, in units of the cell vectors:
Hf1 0.1733 0.8267 0.0000
Hf2 0.8267 0.1733 0.0000
Zr1 0.1123 0.1123 0.3429
Zr2 0.8877 0.8877 0.6571
Sc1 0.0420 0.4114 0.7037
Sc2 0.3463 0.3463 0.0879
Sc3 0.4114 0.0420 0.7037
Sc4 0.5000 0.5000 0.5000
Sc5 0.5886 0.9580 0.2963
Sc6 0.6537 0.6537 0.9121
Sc7 0.9580 0.5886 0.2963

**Polymorph energy (0 for the lowest one)**: 0.0000 eV/atom
**Crystal system**: monoclinic
**Space group**: C2/m, No. 12

---

no.,energy of formation (eV/atom)
1,0.05
2,0.13
3,0.05
4,0.10
5,0.03
6,0.14
7,0.07
8,0.25
9,0.13
10,0.09